Below is a relaxed structure of YTl3Pd7, with properties calculated at the PBE level.

a = 5.638 Å, b = 7.485 Å, c = 7.485 Å
α = 81.94°, β = 122.19°, γ = 122.19°
Fractional coordinates of all 11 atoms:
Tl (0.000, 0.227, 0.773)
Tl (0.500, 0.000, 0.000)
Tl (0.000, 0.773, 0.227)
Pd (0.350, 0.199, 0.199)
Pd (0.328, 0.065, 0.586)
Pd (0.000, 0.500, 0.500)
Pd (0.672, 0.414, 0.935)
Pd (0.672, 0.935, 0.414)
Pd (0.328, 0.586, 0.065)
Pd (0.650, 0.801, 0.801)
Y (0.500, 0.500, 0.500)

Calculated values
**Energy of formation**: -0.224 eV per atom
**V**: 222 Å³/cell
**Size of the total moment**: 0.00 Bohr magnetons per cell